A plane-wave DFT calculation with PBE was carried out for a relaxed structure of Ce2Tl3CrSe6.

Calculated values
mass density	6.802	g/cm3

```
data_Ce2Tl3CrSe6
_symmetry_space_group_name_H-M 'C 1 2/m 1'
_symmetry_Int_Tables_number 12
_cell_length_a 7.203
_cell_length_b 12.420
_cell_length_c 8.116
_cell_angle_alpha 90.00
_cell_angle_beta 107.41
_cell_angle_gamma 90.00
loop_
_symmetry_equiv_pos_as_xyz
'x,y,z'
'-x,-y,-z'
'-x,y,-z'
'x,-y,z'
'x+1/2,y+1/2,z'
'-x+1/2,-y+1/2,-z'
'-x+1/2,y+1/2,-z'
'x+1/2,-y+1/2,z'
loop_
_atom_site_label
_atom_site_type_symbol
_atom_site_fract_x
_atom_site_fract_y
_atom_site_fract_z
Ce1 Ce 0.000 0.165 0.000
Tl1 Tl 0.000 0.000 0.500
Tl2 Tl 0.000 0.327 0.500
Cr1 Cr 0.000 0.500 0.000
Se1 Se 0.219 0.346 0.196
Se2 Se 0.244 0.500 0.791
```

***

A plane-wave DFT calculation with PBE was carried out for a relaxed structure of Ac4TcCl5.

Calculated values
mass density	5.336	g/cm3

```
data_Ac4TcCl5
_symmetry_space_group_name_H-M 'C 1 2/m 1'
_symmetry_Int_Tables_number 12
_cell_length_a 19.243
_cell_length_b 4.403
_cell_length_c 9.206
_cell_angle_alpha 90.00
_cell_angle_beta 109.24
_cell_angle_gamma 90.00
loop_
_symmetry_equiv_pos_as_xyz
'x,y,z'
'-x,-y,-z'
'-x,y,-z'
'x,-y,z'
'x+1/2,y+1/2,z'
'-x+1/2,-y+1/2,-z'
'-x+1/2,y+1/2,-z'
'x+1/2,-y+1/2,z'
loop_
_atom_site_label
_atom_site_type_symbol
_atom_site_fract_x
_atom_site_fract_y
_atom_site_fract_z
Ac1 Ac 0.001 0.000 0.272
Ac2 Ac 0.153 0.500 0.614
Tc1 Tc 0.000 0.500 0.500
Cl1 Cl 0.000 0.500 0.000
Cl2 Cl 0.168 0.000 0.848
Cl3 Cl 0.173 0.000 0.392
```

***

A plane-wave DFT calculation with PBE was carried out for a relaxed structure of YRhS.

Calculated values
mass density	6.854	g/cm3

```
data_YRhS
_symmetry_space_group_name_H-M 'P -6 m 2'
_symmetry_Int_Tables_number 187
_symmetry_space_group_name_Hall 'P -6 2'
_cell_length_a 4.1571
_cell_length_b 4.1571
_cell_length_c 3.6240
_cell_angle_alpha 90.00
_cell_angle_beta 90.00
_cell_angle_gamma 120.00
loop_
_atom_site_label
_atom_site_type_symbol
_atom_site_fract_x
_atom_site_fract_y
_atom_site_fract_z
Y1 Y 0.0000 0.0000 0.0000
Rh1 Rh 0.3333 0.6667 0.5000
S1 S 0.6667 0.3333 0.5000
```

***

A plane-wave DFT calculation with PBE was carried out for a relaxed structure of Li2CaCePb2.

Calculated values
mass density	6.452	g/cm3
calculated formation energy	-2.725	eV per formula unit

```
data_Li2CaCePb2
_symmetry_space_group_name_H-M 'P -3 m 1'
_symmetry_Int_Tables_number 164
_symmetry_space_group_name_Hall '-P 3 2"'
_cell_length_a 4.8781
_cell_length_b 4.8781
_cell_length_c 7.5996
_cell_angle_alpha 90.00
_cell_angle_beta 90.00
_cell_angle_gamma 120.00
loop_
_atom_site_label
_atom_site_type_symbol
_atom_site_fract_x
_atom_site_fract_y
_atom_site_fract_z
Li1 Li 0.3333 0.6667 0.2425
Ca1 Ca 0.0000 0.0000 0.0000
Ce1 Ce 0.0000 0.0000 0.5000
Pb1 Pb 0.3333 0.6667 0.7287
```

***

A plane-wave DFT calculation with PBE was carried out for a relaxed structure of Na3LaNd2S6.

Calculated values
mass density	3.797	g/cm3

```
data_Na3LaNd2S6
_symmetry_space_group_name_H-M 'C 1 2/m 1'
_symmetry_Int_Tables_number 12
_cell_length_a 7.216
_cell_length_b 12.499
_cell_length_c 7.099
_cell_angle_alpha 90.00
_cell_angle_beta 109.80
_cell_angle_gamma 90.00
loop_
_symmetry_equiv_pos_as_xyz
'x,y,z'
'-x,-y,-z'
'-x,y,-z'
'x,-y,z'
'x+1/2,y+1/2,z'
'-x+1/2,-y+1/2,-z'
'-x+1/2,y+1/2,-z'
'x+1/2,-y+1/2,z'
loop_
_atom_site_label
_atom_site_type_symbol
_atom_site_fract_x
_atom_site_fract_y
_atom_site_fract_z
Na1 Na 0.000 0.000 0.000
Na2 Na 0.000 0.333 0.000
La1 La 0.000 0.500 0.500
Nd1 Nd 0.000 0.167 0.500
S1 S 0.241 0.000 0.734
S2 S 0.246 0.332 0.733
```

***

A plane-wave DFT calculation with PBE was carried out for a relaxed structure of AsIrCl.

Calculated values
mass density	7.961	g/cm3
offset from the most stable computed form	314	meV per atom

```
data_AsIrCl
_symmetry_space_group_name_H-M 'F m m 2'
_symmetry_Int_Tables_number 42
_symmetry_space_group_name_Hall 'F 2 -2'
_cell_length_a 3.862
_cell_length_b 4.815
_cell_length_c 13.573
_cell_angle_alpha 90.00
_cell_angle_beta 90.00
_cell_angle_gamma 90.00
loop_
_atom_site_label
_atom_site_type_symbol
_atom_site_fract_x
_atom_site_fract_y
_atom_site_fract_z
As1 As 0.000 0.000 0.000
Ir1 Ir 0.000 0.000 0.610
Cl1 Cl 0.000 0.000 0.242
```

***

Per-record VASP energy, eV/atom: -5.13 -5.14 -7.23 -3.65 -5.41 -4.97